EuAgBiPt | PBE | optimized geometry

Cell: 5.0788 5.0788 5.0788 Å, 60.00 60.00 60.00°
Closest atoms and distances in Å follow each position.
Fractional positions:
Eu: 0.0000 0.0000 0.0000  4 Pt 3.11, 4 Ag 3.11
Ag: 0.2500 0.2500 0.2500  4 Bi 3.11, 4 Eu 3.11
Bi: 0.5000 0.5000 0.5000  4 Pt 3.11, 4 Ag 3.11
Pt: 0.7500 0.7500 0.7500  4 Bi 3.11, 4 Eu 3.11

Properties
Its energy is -6.20 eV per atom. As for the space group: No. 216. For the magnetic moment, the calculation gives 6.912 μB/f.u. The value obtained for the volume is 23.16 A^3/atom. The formation energy is -42 kJ/mol of atoms. The density of states at the Fermi level is 3.181 states/eV per atom.